No. 1
DFT (PBE) results for an optimized crystal structure of LiCaGdCu.

DFT formation energy in eV per atom: 0.0094
Electronic total energy in eV per atom: -5.514

Cell: 7.254 7.254 7.254 Å, 90.00 90.00 90.00°
Space group F-43m (No. 216)
Asymmetric unit:
Li1 0.000 0.000 0.000
Ca1 0.250 0.250 0.250
Gd1 0.250 0.250 0.750
Cu1 0.000 0.000 0.500


No. 2
DFT (PBE) results for an optimized crystal structure of CaGdMgCu.

DFT formation energy in eV per atom: -0.0175
Electronic total energy in eV per atom: -5.461

Cell: 7.390 7.390 7.390 Å, 90.00 90.00 90.00°
Space group F-43m (No. 216)
Asymmetric unit:
Ca1 0.000 0.000 0.000
Gd1 0.000 0.000 0.500
Mg1 0.250 0.250 0.750
Cu1 0.250 0.250 0.250


No. 3
DFT (PBE) results for an optimized crystal structure of CaGdCuNi.

DFT formation energy in eV per atom: -0.1441
Electronic total energy in eV per atom: -6.634

Cell: 6.925 6.925 6.925 Å, 90.00 90.00 90.00°
Space group F-43m (No. 216)
Asymmetric unit:
Ca1 0.000 0.000 0.000
Gd1 0.000 0.000 0.500
Cu1 0.250 0.250 0.750
Ni1 0.250 0.250 0.250


No. 4
DFT (PBE) results for an optimized crystal structure of CaGdCuPd.

DFT formation energy in eV per atom: -0.4469
Electronic total energy in eV per atom: -6.790

Cell: 7.055 7.055 7.055 Å, 90.00 90.00 90.00°
Space group F-43m (No. 216)
Asymmetric unit:
Ca1 0.000 0.000 0.000
Gd1 0.000 0.000 0.500
Cu1 0.250 0.250 0.750
Pd1 0.250 0.250 0.250


No. 5
DFT (PBE) results for an optimized crystal structure of CaGdCuRh.

DFT formation energy in eV per atom: -0.3738
Electronic total energy in eV per atom: -7.256

Cell: 6.956 6.956 6.956 Å, 90.00 90.00 90.00°
Space group F-43m (No. 216)
Asymmetric unit:
Ca1 0.000 0.000 0.000
Gd1 0.000 0.000 0.500
Cu1 0.250 0.250 0.750
Rh1 0.250 0.250 0.250


No. 6
DFT (PBE) results for an optimized crystal structure of CaGdCuRu.

DFT formation energy in eV per atom: -0.0635
Electronic total energy in eV per atom: -7.427

Cell: 6.927 6.927 6.927 Å, 90.00 90.00 90.00°
Space group F-43m (No. 216)
Asymmetric unit:
Ca1 0.000 0.000 0.000
Gd1 0.000 0.000 0.500
Cu1 0.250 0.250 0.250
Ru1 0.250 0.250 0.750


No. 7
DFT (PBE) results for an optimized crystal structure of CaGdCuSi.

E_form (uncorrected) in meV/atom: -366
Electronic total energy in eV per atom: -6.766

Cell: 7.067 7.067 7.067 Å, 90.00 90.00 90.00°
Space group F-43m (No. 216)
Asymmetric unit:
Ca1 0.000 0.000 0.000
Gd1 0.000 0.000 0.500
Cu1 0.250 0.250 0.750
Si1 0.250 0.250 0.250


No. 8
DFT (PBE) results for an optimized crystal structure of CaGdCuSn.

DFT formation energy in eV per atom: -0.4332
Electronic total energy in eV per atom: -6.479

Cell: 7.390 7.390 7.390 Å, 90.00 90.00 90.00°
Space group F-43m (No. 216)
Asymmetric unit:
Ca1 0.000 0.000 0.000
Gd1 0.000 0.000 0.500
Cu1 0.250 0.250 0.250
Sn1 0.250 0.250 0.750


No. 9
DFT (PBE) results for an optimized crystal structure of CaGdZnCu.

DFT formation energy in eV per atom: -0.1951
Electronic total energy in eV per atom: -5.558

Cell: 7.152 7.152 7.152 Å, 90.00 90.00 90.00°
Space group F-43m (No. 216)
Asymmetric unit:
Ca1 0.000 0.000 0.000
Gd1 0.000 0.000 0.500
Zn1 0.250 0.250 0.250
Cu1 0.250 0.250 0.750


No. 10
DFT (PBE) results for an optimized crystal structure of Ca3CuGe4.

DFT formation energy in eV per atom: -0.3299
Electronic total energy in eV per atom: -3.901

Cell: 4.560 5.508 15.996 Å, 90.00 90.00 90.00°
Space group Immm (No. 71)
Asymmetric unit:
Ca1 0.000 0.000 0.000
Ca2 0.000 0.500 0.206
Cu1 0.000 0.000 0.500
Ge1 0.000 0.270 0.382


No. 11
DFT (PBE) results for an optimized crystal structure of Ca2CuGe.

DFT formation energy in eV per atom: -0.3426
Electronic total energy in eV per atom: -3.522

Cell: 5.153 5.153 3.496 Å, 90.00 90.00 90.00°
Space group P4/mmm (No. 123)
Asymmetric unit:
Ca1 0.000 0.500 0.000
Cu1 0.000 0.000 0.500
Ge1 0.500 0.500 0.500


No. 12
DFT (PBE) results for an optimized crystal structure of CaCuGe3.

DFT formation energy in eV per atom: -0.2939
Electronic total energy in eV per atom: -4.284

Cell: 22.238 4.213 4.229 Å, 90.00 90.21 90.00°
Space group C2/m (No. 12)
Asymmetric unit:
Ca1 0.081 0.000 0.253
Cu1 0.137 0.500 0.731
Ge1 0.031 0.500 0.751
Ge2 0.193 0.500 0.244
Ge3 0.194 0.000 0.803


No. 13
DFT (PBE) results for an optimized crystal structure of Ca2Cu3Ge2.

DFT formation energy in eV per atom: -0.3232
Electronic total energy in eV per atom: -3.970

Cell: 10.455 4.195 6.546 Å, 90.00 114.95 90.00°
Space group C2/m (No. 12)
Asymmetric unit:
Ca1 0.148 0.000 0.260
Cu1 0.000 0.500 0.500
Cu2 0.100 0.500 0.919
Ge1 0.141 0.000 0.738


No. 14
DFT (PBE) results for an optimized crystal structure of Ca2CuGe2.

DFT formation energy in eV per atom: -0.4229
Electronic total energy in eV per atom: -3.890

Cell: 6.880 6.880 4.618 Å, 90.00 90.00 90.00°
Space group P4/mbm (No. 127)
Asymmetric unit:
Ca1 0.167 0.333 0.000
Cu1 0.000 0.000 0.500
Ge1 0.139 0.639 0.500


No. 15
DFT (PBE) results for an optimized crystal structure of CaCu4Ge2.

DFT formation energy in eV per atom: -0.2114
E above lowest polymorph in meV/atom: 13
Electronic total energy in eV per atom: -4.157

Cell: 7.514 7.514 3.915 Å, 90.00 90.00 90.00°
Space group P4_2/mnm (No. 136)
Asymmetric unit:
Ca1 0.000 0.000 0.000
Cu1 0.087 0.346 0.500
Ge1 0.219 0.781 0.500


No. 16
DFT (PBE) results for an optimized crystal structure of CaCu2Ge.

DFT formation energy in eV per atom: -0.1767
Electronic total energy in eV per atom: -3.880

Cell: 3.959 3.959 9.464 Å, 90.00 90.00 90.00°
Space group P4/nmm (No. 129, origin choice 2)
Asymmetric unit:
Ca1 0.250 0.250 0.226
Cu1 0.250 0.250 0.921
Cu2 0.250 0.750 0.500
Ge1 0.250 0.250 0.655


No. 17
DFT (PBE) results for an optimized crystal structure of Ca3CuGe2.

DFT formation energy in eV per atom: -0.5191
Electronic total energy in eV per atom: -3.742

Cell: 12.010 4.058 12.369 Å, 90.00 90.00 90.00°
Space group Pnma (No. 62)
Asymmetric unit:
Ca1 0.054 0.250 0.125
Ca2 0.118 0.750 0.554
Ca3 0.209 0.250 0.798
Cu1 0.132 0.250 0.372
Ge1 0.026 0.750 0.314
Ge2 0.194 0.750 0.986


No. 18
DFT (PBE) results for an optimized crystal structure of Ca2Cu5Ge3.

DFT formation energy in eV per atom: -0.1630
Electronic total energy in eV per atom: -3.997

Cell: 4.274 4.274 9.921 Å, 90.00 90.00 90.00°
Space group P-4m2 (No. 115)
Asymmetric unit:
Ca1 0.000 0.500 0.233
Cu1 0.000 0.000 0.000
Cu2 0.000 0.000 0.500
Cu3 0.000 0.500 0.887
Cu4 0.500 0.500 0.000
Ge1 0.000 0.500 0.648
Ge2 0.500 0.500 0.500


No. 19
DFT (PBE) results for an optimized crystal structure of CaCuGe.

DFT formation energy in eV per atom: -0.4553
Electronic total energy in eV per atom: -4.027

Cell: 4.3746 4.3746 3.6059 Å, 90.00 90.00 120.00°
Space group P-6m2 (No. 187)
Asymmetric unit:
Ca1 0.0000 0.0000 0.0000
Cu1 0.3333 0.6667 0.5000
Ge1 0.6667 0.3333 0.5000


No. 20
DFT (PBE) results for an optimized crystal structure of CaCu2Ge2.

DFT formation energy in eV per atom: -0.2502
Electronic total energy in eV per atom: -4.136

Cell: 4.234 4.234 10.195 Å, 90.00 90.00 90.00°
Space group I4/mmm (No. 139)
Asymmetric unit:
Ca1 0.000 0.000 0.000
Cu1 0.000 0.000 0.379
Ge1 0.000 0.500 0.250


No. 21
DFT (PBE) results for an optimized crystal structure of Ca3Cu2Ge4.

DFT formation energy in eV per atom: -0.4989
E above lowest polymorph in meV/atom: 0
Electronic total energy in eV per atom: -4.129

Cell: 11.271 4.176 8.442 Å, 90.00 98.97 90.00°
Space group C2/m (No. 12)
Asymmetric unit:
Ca1 0.000 0.000 0.000
Ca2 0.163 0.500 0.663
Cu1 0.108 0.500 0.283
Ge1 0.057 0.000 0.384
Ge2 0.219 0.500 0.068


No. 22
DFT (PBE) results for an optimized crystal structure of CaCu6Ge4.

DFT formation energy in eV per atom: -0.0341
Electronic total energy in eV per atom: -4.129

Cell: 6.398 6.398 8.888 Å, 90.00 90.00 90.00°
Space group I-42m (No. 121)
Asymmetric unit:
Ca1 0.000 0.000 0.000
Cu1 0.000 0.500 0.000
Cu2 0.157 0.157 0.404
Ge1 0.212 0.212 0.677


No. 23
DFT (PBE) results for an optimized crystal structure of Ca2CuGe.

DFT formation energy in eV per atom: -0.4132
Electronic total energy in eV per atom: -3.592

Cell: 5.800 4.377 8.264 Å, 90.00 109.69 90.00°
Space group P2_1/m (No. 11)
Asymmetric unit:
Ca1 0.212 0.250 0.424
Ca2 0.285 0.750 0.067
Cu1 0.175 0.250 0.775
Ge1 0.348 0.750 0.715


No. 24
DFT (PBE) results for an optimized crystal structure of CaCu12Ge7.

DFT formation energy in eV per atom: 0.0408
Electronic total energy in eV per atom: -4.133

Cell: 12.8139 12.8139 6.3634 Å, 90.00 90.00 120.00°
Space group R-3m (No. 166, hexagonal axes)
Asymmetric unit:
Ca1 0.0000 0.0000 0.0000
Cu1 0.0000 0.2649 0.0000
Cu2 0.1070 0.5535 0.9577
Ge1 0.0000 0.0000 0.5000
Ge2 0.1008 0.5504 0.3612


No. 25
DFT (PBE) results for an optimized crystal structure of CaCu4Ge2.

DFT formation energy in eV per atom: -0.2243
E above lowest polymorph in meV/atom: 0
Electronic total energy in eV per atom: -4.170

Cell: 4.1345 4.1345 23.2558 Å, 90.00 90.00 120.00°
Space group R-3m (No. 166, hexagonal axes)
Asymmetric unit:
Ca1 0.0000 0.0000 0.0000
Cu1 0.0000 0.0000 0.1421
Cu2 0.0000 0.0000 0.4423
Ge1 0.0000 0.0000 0.2500